## BaZn2Cl (GGA-PBE)

Data for an optimized crystal structure of BaZn2Cl.

Excess energy over the best structure of this formula in the dataset (meV/atom): 217.6
Spin magnetization (μB per cell): 0.00
Calculated density (Mg/m³): 3.8
Raw formation energy (eV/atom): -0.521
N(E_F) (states/eV/cell): 1.84

abc: 4.7199 4.7199 5.9266
angles: 90.00 90.00 90.12
With the nearest neighbours (Å) after each atom.
Positions (direct):
Ba: 0.0000 0.0000 0.0000  2 Cl 2.96
Zn: 0.5000 0.5000 0.2779  1 Zn 2.63
Zn: 0.5000 0.5000 0.7221  1 Zn 2.63
Cl: 0.0000 0.0000 0.5000  2 Ba 2.96